Record 1
CaTcPd3 | GGA-PBE | relaxed

Cell and atoms, written as POSCAR:
```
CaTcPd3
1.0
4.840 0.000 0.000
0.000 4.840 0.000
0.000 0.000 4.840
Ca Tc Pd
1 1 3
direct
0.000 0.000 0.000
0.500 0.500 0.500
0.000 0.500 0.500
0.500 0.000 0.500
0.500 0.500 0.000
```

E_form, eV per formula unit: 2.23
Offset from the most stable computed form, eV/atom: 0.000

---

Record 2
CaTc3Pd | GGA-PBE | relaxed

Cell and atoms, written as POSCAR:
```
CaTc3Pd
1.0
4.535 0.000 0.000
0.000 4.535 0.000
0.000 0.000 4.535
Ca Tc Pd
1 3 1
direct
0.000 0.000 0.000
0.000 0.000 0.500
0.000 0.500 0.000
0.500 0.000 0.000
0.500 0.500 0.500
```

E_form, eV per formula unit: 12.56
Offset from the most stable computed form, eV/atom: 0.855